An optimized crystal structure of CaTb3Mn4O12, computed with PBEsol.

a = 5.247 Å, b = 5.500 Å, c = 7.487 Å
α = 90.00°, β = 90.00°, γ = 89.95°
Site moments in Bohr magnetons follow the coordinates.
Sites, in units of the cell vectors:
Ca: 0.513 0.557 0.500  0.01
Tb: 0.983 0.066 0.500  0.04
Tb: 0.483 0.433 0.000  0.04
Tb: 0.016 0.935 0.000  0.04
Mn: 0.998 0.502 0.748  3.40
Mn: 0.501 0.997 0.252  3.39
Mn: 0.998 0.502 0.252  3.40
Mn: 0.501 0.997 0.748  3.39
O: 0.404 0.975 0.500  0.06
O: 0.085 0.471 0.500  0.07
O: 0.593 0.025 0.000  0.05
O: 0.902 0.527 0.000  0.05
O: 0.807 0.807 0.707  0.06
O: 0.705 0.294 0.294  0.06
O: 0.204 0.202 0.199  0.05
O: 0.296 0.703 0.805  0.06
O: 0.204 0.202 0.801  0.05
O: 0.296 0.703 0.195  0.06
O: 0.807 0.807 0.293  0.06
O: 0.705 0.294 0.706  0.06

Results
total energy: -171.4 eV/f.u.
energy relative to the elements, uncorrected: -2.61 eV/atom